(1)
The following is a DFT calculation (GGA-PBE) of crystalline Er2TmAg6 at its relaxed geometry.

theoretical density: 9.8 g/cm³
formation energy: -0.22 eV/atom
raw total energy: -3.6325 eV/atom
M_tot: 0.0 μB per cell

Unit cell a=5.270 b=8.813 c=8.813 alpha=75.30 beta=81.68 gamma=81.68
Atoms (fractional coordinates):
1 Er 0.083 0.208 0.458
2 Er 0.417 0.542 0.792
3 Er 0.583 0.458 0.208
4 Er 0.917 0.792 0.542
5 Ag 0.360 0.903 0.653
6 Ag 0.140 0.347 0.097
7 Ag 0.807 0.014 0.765
8 Ag 0.860 0.653 0.903
9 Ag 0.026 0.570 0.318
10 Ag 0.693 0.235 0.986
11 Ag 0.640 0.097 0.347
12 Ag 0.307 0.765 0.014
13 Ag 0.974 0.430 0.682
14 Ag 0.474 0.682 0.430
15 Ag 0.193 0.986 0.235
16 Ag 0.526 0.318 0.570
17 Tm 0.250 0.125 0.875
18 Tm 0.750 0.875 0.125

---

(2)
The following is a DFT calculation (GGA-PBE) of crystalline Er3Tm4Ag at its relaxed geometry.

theoretical density: 9.3 g/cm³
formation energy: -0.06 eV/atom
raw total energy: -4.3585 eV/atom
M_tot: 0.0 μB per cell

Unit cell a=3.494 b=3.494 c=18.723 alpha=90.00 beta=90.00 gamma=90.00
Atoms (fractional coordinates):
1 Tm 0.000 0.000 0.101
2 Tm 0.000 0.000 0.899
3 Tm 0.000 0.000 0.633
4 Tm 0.000 0.000 0.367
5 Er 0.500 0.500 0.500
6 Er 0.500 0.500 0.236
7 Er 0.500 0.500 0.764
8 Ag 0.500 0.500 0.000

---

(3)
The following is a DFT calculation (GGA-PBE) of crystalline ErTmAg6 at its relaxed geometry.

theoretical density: 10.1 g/cm³
formation energy: -0.22 eV/atom
raw total energy: -3.4897 eV/atom
M_tot: 0.0 μB per cell

Unit cell a=4.371 b=5.211 c=8.139 alpha=79.36 beta=74.42 gamma=65.20
Atoms (fractional coordinates):
1 Ag 0.250 0.376 0.124
2 Ag 0.500 0.249 0.751
3 Ag 0.751 0.125 0.374
4 Ag 0.500 0.751 0.249
5 Ag 0.750 0.624 0.876
6 Ag 0.249 0.875 0.626
7 Tm 0.000 0.000 0.000
8 Er 0.000 0.500 0.500

---

(4)
The following is a DFT calculation (GGA-PBE) of crystalline ErTm2Ag at its relaxed geometry.

theoretical density: 9.3 g/cm³
formation energy: -0.02 eV/atom
raw total energy: -4.1098 eV/atom
M_tot: 0.0 μB per cell
excess energy over the best structure of this formula in the dataset: 0.465 eV/f.u.

Unit cell a=3.496 b=3.496 c=10.546 alpha=80.46 beta=80.46 gamma=60.00
Atoms (fractional coordinates):
1 Tm 0.742 0.742 0.774
2 Tm 0.258 0.258 0.226
3 Ag 0.000 0.000 0.000
4 Er 0.500 0.500 0.500